{
  "formula": "Nd2DyCu4Si4",
  "functional": "PBE",
  "state": "optimized geometry",
  "final_energy_ev_per_cell": -57.47,
  "lattice": [[-2.044, 2.049, 11.938], [2.044, -2.049, 11.938], [2.044, 2.049, -11.938]],
  "species": ["Nd", "Nd", "Dy", "Cu", "Cu", "Cu", "Cu", "Si", "Si", "Si", "Si"],
  "fractional_positions": [[0.149, 0.149, 0.000], [0.851, 0.851, 0.000], [0.500, 0.000, 0.500], [0.250, 0.750, 0.500], [0.405, 0.405, 0.000], [0.595, 0.595, 0.000], [0.750, 0.250, 0.500], [0.049, 0.549, 0.500], [0.305, 0.305, 0.000], [0.695, 0.695, 0.000], [0.951, 0.451, 0.500]]
}

=====

{
  "formula": "NdDyCu2Si2",
  "functional": "PBE",
  "state": "optimized geometry",
  "final_energy_ev_per_cell": -31.53,
  "lattice": [[4.177, 0.000, 0.000], [-2.089, 3.618, 0.000], [0.000, 0.000, 7.702]],
  "species": ["Nd", "Dy", "Cu", "Cu", "Si", "Si"],
  "fractional_positions": [[0.000, 0.000, 0.000], [0.000, 0.000, 0.500], [0.333, 0.667, 0.261], [0.667, 0.333, 0.739], [0.333, 0.667, 0.739], [0.667, 0.333, 0.261]]
}

=====

{
  "formula": "Nd2DyCu4Sn4",
  "functional": "PBE",
  "state": "optimized geometry",
  "final_energy_ev_per_cell": -50.85,
  "lattice": [[-2.275, 3.454, 7.453], [2.275, -3.454, 7.453], [2.275, 3.454, -7.453]],
  "species": ["Nd", "Nd", "Dy", "Cu", "Cu", "Cu", "Cu", "Sn", "Sn", "Sn", "Sn"],
  "fractional_positions": [[0.132, 0.132, 0.000], [0.868, 0.868, 0.000], [0.500, 0.000, 0.500], [0.144, 0.330, 0.814], [0.484, 0.670, 0.814], [0.516, 0.330, 0.186], [0.856, 0.670, 0.186], [0.206, 0.500, 0.706], [0.286, 0.786, 0.500], [0.714, 0.214, 0.500], [0.794, 0.500, 0.294]]
}

=====

Calculated total moment, 0.00; 0.00; 0.00 μB per atom (same order as the records).
Calculated calculated density, 6.79; 6.99; 8.36 g cm⁻³ (same order as the records).